No. 1
Below is Ce5Te2As2 after structural relaxation, with properties calculated at the PBE level.

**Crystal system**: orthorhombic
**SG**: No. 64
**Density of states at the Fermi level**: 57.661 states/eV/cell

Lattice parameters (Å, degrees): 8.028 8.801 8.801 125.72 90.00 90.00
Each line ends with the local moment (μB).
Fractional positions:
1 Ce 0.344 0.969 0.719  0.91
2 Ce 0.156 0.219 0.469  0.91
3 Ce 0.656 0.281 0.031  0.91
4 Ce 0.500 0.500 0.500  0.82
5 Ce 0.000 0.000 0.000  0.82
6 Ce 0.844 0.531 0.781  0.91
7 Ce 0.344 0.719 0.969  0.91
8 Ce 0.156 0.469 0.219  0.91
9 Ce 0.656 0.031 0.281  0.91
10 Ce 0.844 0.781 0.531  0.91
11 As 0.853 0.352 0.352  -0.03
12 As 0.147 0.648 0.648  -0.03
13 As 0.647 0.852 0.852  -0.03
14 As 0.353 0.148 0.148  -0.03
15 Te 0.000 0.202 0.798  -0.02
16 Te 0.500 0.702 0.298  -0.02
17 Te 0.500 0.298 0.702  -0.02
18 Te 0.000 0.798 0.202  -0.02

***

No. 2
Below is Ce4Te3As after structural relaxation, with properties calculated at the PBE level.

**Crystal system**: orthorhombic
**SG**: No. 65
**Density of states at the Fermi level**: 27.610 states/eV/cell

Lattice parameters (Å, degrees): 4.389 7.694 7.694 108.97 90.00 90.00
Each line ends with the local moment (μB).
Fractional positions:
1 Ce 0.000 0.770 0.770  0.91
2 Ce 0.000 0.230 0.230  0.91
3 Ce 0.500 0.761 0.239  0.91
4 Ce 0.500 0.239 0.761  0.91
5 As 0.500 0.000 0.000  -0.03
6 Te 0.500 0.500 0.500  -0.02
7 Te 0.000 0.500 0.000  -0.02
8 Te 0.000 0.000 0.500  -0.02

***

No. 3
Below is Ce2TeAs after structural relaxation, with properties calculated at the PBE level.

**Crystal system**: trigonal
**SG**: No. 160
**E above lowest polymorph**: 64 meV per atom
**Density of states at the Fermi level**: 13.371 states/eV/cell

Lattice parameters (Å, degrees): 4.247 4.247 7.985 74.58 74.58 60.00
Each line ends with the local moment (μB).
Fractional positions:
1 Ce 0.073 0.073 0.781  0.85
2 Ce 0.260 0.260 0.219  0.94
3 Te 0.498 0.498 0.505  -0.03
4 As 0.668 0.668 0.995  -0.03

***

No. 4
Below is Ce5Te4As after structural relaxation, with properties calculated at the PBE level.

**Crystal system**: tetragonal
**SG**: No. 139
**E above lowest polymorph**: 11 meV per atom
**Density of states at the Fermi level**: 35.537 states/eV/cell

Lattice parameters (Å, degrees): 4.442 4.442 16.004 97.98 97.98 90.00
Each line ends with the local moment (μB).
Fractional positions:
1 Te 0.197 0.197 0.394  -0.02
2 Te 0.803 0.803 0.606  -0.02
3 Te 0.399 0.399 0.799  -0.02
4 Te 0.601 0.601 0.201  -0.02
5 As 0.000 0.000 0.000  -0.03
6 Ce 0.906 0.906 0.812  0.92
7 Ce 0.094 0.094 0.188  0.92
8 Ce 0.298 0.298 0.596  0.96
9 Ce 0.702 0.702 0.404  0.96
10 Ce 0.500 0.500 0.000  0.91

***

No. 5
Below is Ce8Te5As3 after structural relaxation, with properties calculated at the PBE level.

**Crystal system**: trigonal
**SG**: No. 166
**Density of states at the Fermi level**: 55.059 states/eV/cell

Lattice parameters (Å, degrees): 8.737 8.737 8.851 60.43 60.43 60.00
Each line ends with the local moment (μB).
Fractional positions:
1 As 0.000 0.000 0.500  -0.03
2 As 0.000 0.500 0.500  -0.03
3 As 0.500 0.000 0.500  -0.03
4 Ce 0.759 0.759 0.724  0.89
5 Ce 0.769 0.250 0.731  0.90
6 Ce 0.750 0.750 0.269  0.90
7 Ce 0.750 0.231 0.269  0.90
8 Ce 0.231 0.750 0.269  0.90
9 Ce 0.241 0.241 0.276  0.89
10 Ce 0.250 0.769 0.731  0.90
11 Ce 0.250 0.250 0.731  0.90
12 Te 0.000 0.000 0.000  -0.02
13 Te 0.000 0.500 0.000  -0.02
14 Te 0.500 0.500 0.500  -0.02
15 Te 0.500 0.500 0.000  -0.02
16 Te 0.500 0.000 0.000  -0.02

***

No. 6
Below is Ce4TeAs3 after structural relaxation, with properties calculated at the PBE level.

**Crystal system**: orthorhombic
**SG**: No. 47
**Density of states at the Fermi level**: 22.560 states/eV/cell

Lattice parameters (Å, degrees): 4.277 6.080 8.601 90.00 90.00 90.00
Each line ends with the local moment (μB).
Fractional positions:
1 Ce 0.000 0.500 0.000  0.76
2 Ce 0.500 0.000 0.267  0.77
3 Ce 0.000 0.500 0.500  0.73
4 Ce 0.500 0.000 0.733  0.77
5 As 0.000 0.000 0.500  -0.03
6 As 0.500 0.500 0.250  -0.03
7 As 0.500 0.500 0.750  -0.03
8 Te 0.000 0.000 0.000  -0.02

***

No. 7
Below is Ce2Te3As after structural relaxation, with properties calculated at the PBE level.

**Crystal system**: tetragonal
**SG**: No. 115
**Density of states at the Fermi level**: 12.662 states/eV/cell

Lattice parameters (Å, degrees): 4.334 4.334 9.090 90.00 90.00 90.00
Each line ends with the local moment (μB).
Fractional positions:
1 Ce 0.000 0.500 0.262  0.70
2 Ce 0.500 0.000 0.738  0.70
3 Te 0.000 0.000 0.000  -0.01
4 Te 0.500 0.000 0.369  -0.03
5 Te 0.000 0.500 0.631  -0.03
6 As 0.500 0.500 0.000  -0.02

***

No. 8
Below is Ce8Te3As4 after structural relaxation, with properties calculated at the PBE level.

**Crystal system**: monoclinic
**SG**: No. 12
**Density of states at the Fermi level**: 52.446 states/eV/cell

Lattice parameters (Å, degrees): 8.628 8.660 8.660 90.07 119.79 119.79
Each line ends with the local moment (μB).
Fractional positions:
1 As 0.000 0.000 0.000  -0.03
2 As 0.000 0.500 0.000  -0.03
3 As 0.500 0.000 0.000  -0.03
4 As 0.000 0.000 0.500  -0.03
5 Ce 0.984 0.236 0.236  0.94
6 Ce 0.000 0.242 0.758  0.94
7 Ce 0.481 0.231 0.231  0.95
8 Ce 0.500 0.758 0.242  0.78
9 Ce 0.016 0.764 0.764  0.94
10 Ce 0.519 0.769 0.769  0.95
11 Ce 0.500 0.242 0.758  0.78
12 Ce 0.000 0.758 0.242  0.94
13 Te 0.500 0.500 0.500  -0.02
14 Te 0.500 0.500 0.000  -0.02
15 Te 0.500 0.000 0.500  -0.02

***

no.,uncorrected formation energy (eV/atom)
1,-1.17
2,-1.39
3,-1.36
4,-1.37
5,-1.40
6,-1.40
7,-1.20
8,-1.21